Er2GaCo5Si2: optimized geometry, PBE.

Computed properties:
Density of states at the Fermi level (states/eV/f.u.): 4.609
Uncorrected energy (eV/atom): -6.318

The structure in POSCAR format:
```
Er2GaCo5Si2
1.0
3.2695 0.0000 0.0000
0.0000 9.3226 0.0000
0.0000 0.0000 9.3226
Ga Co Si Er
2 10 4 4
direct
0.0000 0.5000 0.5000
0.0000 0.0000 0.0000
0.5000 0.0653 0.7852
0.5000 0.7852 0.9347
0.5000 0.2852 0.5653
0.5000 0.7148 0.4347
0.5000 0.2148 0.0653
0.5000 0.5653 0.7148
0.5000 0.0000 0.5000
0.5000 0.9347 0.2148
0.5000 0.5000 0.0000
0.5000 0.4347 0.2852
0.0000 0.1195 0.6195
0.0000 0.6195 0.8805
0.0000 0.8805 0.3805
0.0000 0.3805 0.1195
0.0000 0.8227 0.6773
0.0000 0.3227 0.8227
0.0000 0.6773 0.1773
0.0000 0.1773 0.3227
```


TbErGaCo: optimized geometry, PBE.

Computed properties:
DFT formation energy (eV per atom): -0.328
Density of states at the Fermi level (states/eV/f.u.): 2.719
Uncorrected energy (eV/atom): -5.160

The structure in POSCAR format:
```
TbErGaCo
1.0
-4.6845 -1.4399 0.2568
-1.0995 -4.7828 0.0189
-1.6972 -2.1114 4.0921
Ga Er Co Tb
1 1 1 1
direct
0.5000 0.5000 0.5000
0.2500 0.2500 0.2500
0.0000 0.0000 0.0000
0.7500 0.7500 0.7500
```


TbErGaCo: optimized geometry, PBE.

Computed properties:
DFT formation energy (eV per atom): -0.387
Density of states at the Fermi level (states/eV/f.u.): 3.356
Uncorrected energy (eV/atom): -5.219

The structure in POSCAR format:
```
TbErGaCo
1.0
3.8716 0.0000 0.0000
0.0000 4.2273 0.0000
-1.9358 0.0000 5.2695
Tb Co Er Ga
1 1 1 1
direct
0.1425 0.0000 0.2850
0.4345 0.0000 0.8690
0.8587 0.5000 0.7174
0.5643 0.5000 0.1286
```


ErThGa2Co2: optimized geometry, PBE.

Computed properties:
DFT formation energy (eV per atom): -0.456
Density of states at the Fermi level (states/eV/f.u.): 5.494
Uncorrected energy (eV/atom): -5.831

The structure in POSCAR format:
```
ErThGa2Co2
1.0
-1.4762 -3.9109 0.7778
2.7888 0.6329 -3.1467
5.4496 -1.1420 4.6001
Er Co Ga Th
1 2 2 1
direct
0.0000 0.0000 0.5000
0.6667 0.3333 0.2500
0.3333 0.6667 0.7500
0.3333 0.6667 0.2715
0.6667 0.3333 0.7285
0.0000 0.0000 0.0000
```


ErTiGaCo: optimized geometry, PBE.

Computed properties:
DFT formation energy (eV per atom): -0.232
Density of states at the Fermi level (states/eV/f.u.): 2.278
Uncorrected energy (eV/atom): -5.880

The structure in POSCAR format:
```
ErTiGaCo
1.0
4.6315 0.0000 0.0000
2.3157 4.0110 0.0000
2.3157 1.3370 3.7816
Ga Co Er Ti
1 1 1 1
direct
0.5000 0.5000 0.5000
0.0000 0.0000 0.0000
0.7500 0.7500 0.7500
0.2500 0.2500 0.2500
```


ErTmGaCo: optimized geometry, PBE.

Computed properties:
DFT formation energy (eV per atom): -0.409
Density of states at the Fermi level (states/eV/f.u.): 3.063
Uncorrected energy (eV/atom): -5.200

The structure in POSCAR format:
```
ErTmGaCo
1.0
-3.5114 1.4475 0.3958
-0.8888 -1.0708 -3.9688
0.0275 -5.3644 1.4412
Tm Co Ga Er
1 1 1 1
direct
0.8580 0.5000 0.7159
0.4337 0.0000 0.8674
0.5658 0.5000 0.1316
0.1426 0.0000 0.2851
```


ErTmGaCo: optimized geometry, PBE.

Computed properties:
DFT formation energy (eV per atom): -0.356
Density of states at the Fermi level (states/eV/f.u.): 2.855
Uncorrected energy (eV/atom): -5.148

The structure in POSCAR format:
```
ErTmGaCo
1.0
-0.9031 3.9858 2.6189
-0.5691 -0.3331 4.8090
3.4018 1.7716 2.9750
Tm Co Ga Er
1 1 1 1
direct
0.5000 0.5000 0.5000
0.7500 0.7500 0.7500
0.2500 0.2500 0.2500
0.0000 0.0000 0.0000
```


ErZnGa2Co2: optimized geometry, PBE.

Computed properties:
DFT formation energy (eV per atom): -0.037
Density of states at the Fermi level (states/eV/f.u.): 3.606
Uncorrected energy (eV/atom): -4.387

The structure in POSCAR format:
```
ErZnGa2Co2
1.0
-1.3716 1.1396 3.9840
-3.6379 -2.3405 -0.5829
2.4494 -4.3254 2.0805
Co Er Zn Ga
2 1 1 2
direct
0.5000 0.0000 0.0000
0.0000 0.5000 0.0000
0.0000 0.0000 0.5000
0.0000 0.0000 0.0000
0.5000 0.5000 0.7466
0.5000 0.5000 0.2534
```


ErZnGa3Co: optimized geometry, PBE.

Computed properties:
DFT formation energy (eV per atom): -0.076
Density of states at the Fermi level (states/eV/f.u.): 3.916
Uncorrected energy (eV/atom): -3.747

The structure in POSCAR format:
```
ErZnGa3Co
1.0
5.6960 0.0000 0.0000
0.0000 6.5582 0.0000
0.0000 -3.2791 5.8981
Er Ga Co Zn
2 6 2 2
direct
0.2500 0.7040 0.4080
0.7500 0.2960 0.5920
0.5000 0.3032 0.0000
0.7500 0.8310 0.6620
0.2500 0.1690 0.3380
0.0000 0.6968 0.0000
0.5000 0.6968 0.0000
0.0000 0.3032 0.0000
0.2500 0.3695 0.7390
0.7500 0.6305 0.2610
0.2500 0.9406 0.8813
0.7500 0.0594 0.1187
```


Gd3ErCo: optimized geometry, PBE.

Computed properties:
DFT formation energy (eV per atom): 0.015
Density of states at the Fermi level (states/eV/f.u.): 7.003
Uncorrected energy (eV/atom): -10.767

The structure in POSCAR format:
```
Gd3ErCo
1.0
5.3015 0.0000 0.0000
0.0000 5.3015 0.0000
0.0000 0.0000 5.3015
Er Co Gd
1 1 3
direct
0.5000 0.5000 0.5000
0.0000 0.0000 0.0000
0.5000 0.0000 0.0000
0.0000 0.5000 0.0000
0.0000 0.0000 0.5000
```


GdErCo2: optimized geometry, PBE.

Computed properties:
DFT formation energy (eV per atom): -0.150
Density of states at the Fermi level (states/eV/f.u.): 1.215
Uncorrected energy (eV/atom): -8.364

The structure in POSCAR format:
```
GdErCo2
1.0
-3.2259 0.5591 -0.6978
0.6744 -1.5892 -4.3913
-1.0648 -4.3724 1.4189
Er Gd Co
1 1 2
direct
0.5000 0.5000 0.5000
0.5000 0.0000 0.0000
0.0000 0.5000 0.0000
0.0000 0.0000 0.5000
```


GdErCo: optimized geometry, PBE.

Computed properties:
DFT formation energy (eV per atom): -0.117
Density of states at the Fermi level (states/eV/f.u.): 2.416
Uncorrected energy (eV/atom): -8.701

The structure in POSCAR format:
```
GdErCo
1.0
3.3599 0.0000 0.0000
0.0000 3.3599 0.0000
-1.6799 -1.6799 6.3234
Er Gd Co
1 1 1
direct
0.2935 0.2935 0.5869
0.0375 0.0375 0.0751
0.6690 0.6690 0.3380
```